An optimized crystal structure of HfSiTe2I. Source: Alexandria via LeMat-Bulk, functional PBE-GGA.

```
5
Lattice="5.2704 0.0000 0.0000 0.0000 5.2704 0.0000 0.0000 0.0000 5.2016" Properties=species:S:1:pos:R:3 pbc="T T T"
Hf 0.0000 0.0000 0.0000
Si 2.6352 2.6352 2.6008
Te 0.0000 2.6352 2.6008
Te 2.6352 0.0000 2.6008
I 2.6352 2.6352 0.0000
```

Output
Offset from the most stable computed form in meV/atom: 307.3
Volume in A^3/atom: 28.90
ΔE_f (raw) in eV/atom: 0.63